{
  "formula": "CaHoAg6",
  "functional": "PBE-GGA",
  "state": "optimized geometry",
  "lattice": [[-3.641, 4.008, 0.908], [-2.860, -1.600, -4.405], [-2.951, -3.395, 3.149]],
  "species": ["Ag", "Ag", "Ag", "Ag", "Ag", "Ag", "Ho", "Ca"],
  "fractional_positions": [[0.000, 0.500, 0.249], [0.500, 0.249, 0.000], [0.751, 0.000, 0.500], [0.249, 0.000, 0.500], [0.500, 0.751, 0.000], [0.000, 0.500, 0.751], [0.000, 0.000, 0.000], [0.500, 0.500, 0.500]],
  "formation_energy_ev_per_atom": -0.19,
  "e_above_lowest_polymorph_mev_per_atom": 15,
  "mass_density_g_cm3": 8.5
}

=====

{
  "formula": "Ca2HoAg",
  "functional": "PBE-GGA",
  "state": "optimized geometry",
  "lattice": [[-0.639, 3.583, 0.879], [-2.480, 0.859, 2.671], [6.615, 1.070, 8.422]],
  "species": ["Ho", "Ca", "Ca", "Ag"],
  "fractional_positions": [[0.500, 0.500, 0.499], [0.262, 0.262, 0.214], [0.071, 0.071, 0.787], [0.666, 0.666, 0.001]],
  "formation_energy_ev_per_atom": 0.02,
  "e_above_lowest_polymorph_mev_per_atom": 69,
  "mass_density_g_cm3": 4.6
}

=====

{
  "formula": "CaHo4Ag5",
  "functional": "PBE-GGA",
  "state": "optimized geometry",
  "lattice": [[3.607, 0.000, 0.000], [0.000, 3.607, 0.000], [0.000, 0.000, 18.472]],
  "species": ["Ca", "Ag", "Ag", "Ag", "Ag", "Ag", "Ho", "Ho", "Ho", "Ho"],
  "fractional_positions": [[0.000, 0.000, 0.000], [0.500, 0.500, 0.891], [0.500, 0.500, 0.500], [0.500, 0.500, 0.109], [0.500, 0.500, 0.699], [0.500, 0.500, 0.301], [0.000, 0.000, 0.798], [0.000, 0.000, 0.401], [0.000, 0.000, 0.599], [0.000, 0.000, 0.202]],
  "formation_energy_ev_per_atom": -0.33,
  "mass_density_g_cm3": 8.6
}

=====

{
  "formula": "CaHo3Ag4",
  "functional": "PBE-GGA",
  "state": "optimized geometry",
  "lattice": [[5.142, 0.000, 0.000], [0.000, 7.254, 0.000], [0.000, 0.000, 10.289]],
  "species": ["Ho", "Ho", "Ho", "Ho", "Ho", "Ho", "Ag", "Ag", "Ag", "Ag", "Ag", "Ag", "Ag", "Ag", "Ca", "Ca"],
  "fractional_positions": [[0.501, 0.000, 0.750], [0.000, 0.000, 0.500], [0.499, 0.000, 0.250], [0.000, 0.000, 0.000], [0.499, 0.500, 0.250], [0.501, 0.500, 0.750], [0.500, 0.758, 0.500], [0.999, 0.241, 0.250], [0.001, 0.241, 0.750], [0.500, 0.242, 0.500], [0.500, 0.242, 0.000], [0.999, 0.759, 0.250], [0.500, 0.758, 0.000], [0.001, 0.759, 0.750], [0.000, 0.500, 0.500], [0.000, 0.500, 0.000]],
  "formation_energy_ev_per_atom": -0.32,
  "mass_density_g_cm3": 8.4
}

=====

{
  "formula": "Ca3Ho5Ag12",
  "functional": "PBE-GGA",
  "state": "optimized geometry",
  "lattice": [[14.608, 0.000, 0.000], [-4.869, 13.772, 0.000], [-4.869, -6.886, 11.927]],
  "species": ["Ag", "Ag", "Ag", "Ag", "Ag", "Ag", "Ag", "Ag", "Ag", "Ag", "Ag", "Ag", "Ag", "Ag", "Ag", "Ag", "Ag", "Ag", "Ag", "Ag", "Ag", "Ag", "Ag", "Ag", "Ag", "Ag", "Ag", "Ag", "Ag", "Ag", "Ag", "Ag", "Ag", "Ag", "Ag", "Ag", "Ag", "Ag", "Ag", "Ag", "Ag", "Ag", "Ag", "Ag", "Ag", "Ag", "Ag", "Ag", "Ho", "Ho", "Ho", "Ho", "Ho", "Ho", "Ho", "Ho", "Ho", "Ho", "Ho", "Ho", "Ho", "Ho", "Ho", "Ho", "Ho", "Ho", "Ho", "Ho", "Ca", "Ca", "Ca", "Ca", "Ca", "Ca", "Ca", "Ca", "Ca", "Ca", "Ca", "Ca"],
  "fractional_positions": [[0.731, 0.152, 0.075], [0.652, 0.577, 0.920], [0.231, 0.657, 0.080], [0.923, 0.843, 0.575], [0.575, 0.231, 0.152], [0.343, 0.769, 0.420], [0.577, 0.652, 0.420], [0.731, 0.580, 0.157], [0.152, 0.731, 0.575], [0.080, 0.157, 0.231], [0.920, 0.843, 0.769], [0.848, 0.580, 0.923], [0.077, 0.157, 0.425], [0.420, 0.152, 0.577], [0.657, 0.231, 0.580], [0.848, 0.269, 0.425], [0.925, 0.348, 0.269], [0.348, 0.423, 0.080], [0.157, 0.077, 0.925], [0.923, 0.080, 0.848], [0.769, 0.343, 0.920], [0.920, 0.077, 0.652], [0.077, 0.920, 0.152], [0.269, 0.848, 0.925], [0.152, 0.420, 0.077], [0.343, 0.575, 0.423], [0.580, 0.731, 0.657], [0.769, 0.425, 0.348], [0.657, 0.425, 0.577], [0.423, 0.075, 0.343], [0.575, 0.343, 0.923], [0.843, 0.923, 0.075], [0.157, 0.080, 0.731], [0.420, 0.269, 0.343], [0.925, 0.577, 0.157], [0.348, 0.925, 0.769], [0.231, 0.575, 0.652], [0.652, 0.075, 0.231], [0.423, 0.348, 0.580], [0.269, 0.420, 0.843], [0.075, 0.652, 0.731], [0.580, 0.848, 0.423], [0.425, 0.657, 0.077], [0.843, 0.920, 0.269], [0.080, 0.923, 0.348], [0.425, 0.769, 0.848], [0.577, 0.925, 0.657], [0.075, 0.423, 0.843], [0.500, 0.000, 0.500], [0.000, 0.500, 0.500], [0.375, 0.250, 0.125], [0.875, 0.625, 0.750], [0.500, 0.000, 0.000], [0.750, 0.625, 0.375], [0.375, 0.125, 0.750], [0.125, 0.375, 0.250], [0.875, 0.250, 0.625], [0.000, 0.000, 0.500], [0.625, 0.750, 0.875], [0.250, 0.875, 0.125], [0.500, 0.500, 0.500], [0.000, 0.000, 0.000], [0.250, 0.375, 0.625], [0.125, 0.750, 0.375], [0.500, 0.500, 0.000], [0.000, 0.500, 0.000], [0.625, 0.875, 0.250], [0.750, 0.125, 0.875], [0.250, 0.125, 0.375], [0.875, 0.125, 0.250], [0.125, 0.875, 0.750], [0.750, 0.375, 0.125], [0.875, 0.750, 0.125], [0.375, 0.625, 0.250], [0.375, 0.750, 0.625], [0.125, 0.250, 0.875], [0.625, 0.375, 0.750], [0.750, 0.875, 0.625], [0.250, 0.625, 0.875], [0.625, 0.250, 0.375]],
  "formation_energy_ev_per_atom": 0.22,
  "mass_density_g_cm3": 6.2
}

=====

{
  "formula": "CaHo5Ag4",
  "functional": "PBE-GGA",
  "state": "optimized geometry",
  "lattice": [[3.623, 0.000, 0.000], [0.000, 3.623, 0.000], [0.000, 0.000, 19.974]],
  "species": ["Ho", "Ho", "Ho", "Ho", "Ho", "Ag", "Ag", "Ag", "Ag", "Ca"],
  "fractional_positions": [[0.500, 0.500, 0.318], [0.500, 0.500, 0.860], [0.500, 0.500, 0.140], [0.500, 0.500, 0.500], [0.500, 0.500, 0.682], [0.000, 0.000, 0.410], [0.000, 0.000, 0.226], [0.000, 0.000, 0.774], [0.000, 0.000, 0.590], [0.000, 0.000, 0.000]],
  "formation_energy_ev_per_atom": -0.22,
  "mass_density_g_cm3": 8.2
}

=====

{
  "formula": "CaHo5Ag6",
  "functional": "PBE-GGA",
  "state": "optimized geometry",
  "lattice": [[-3.519, -0.116, -3.731], [-3.271, -5.569, 3.258], [-6.162, 4.869, 2.135]],
  "species": ["Ag", "Ag", "Ag", "Ag", "Ag", "Ag", "Ho", "Ho", "Ho", "Ho", "Ho", "Ca"],
  "fractional_positions": [[0.170, 0.746, 0.659], [0.500, 0.742, 0.000], [0.500, 0.258, 0.000], [0.830, 0.254, 0.341], [0.170, 0.254, 0.659], [0.830, 0.746, 0.341], [0.333, 0.000, 0.333], [0.665, 0.500, 0.669], [0.335, 0.500, 0.331], [0.667, 0.000, 0.667], [0.000, 0.500, 0.000], [0.000, 0.000, 0.000]],
  "formation_energy_ev_per_atom": -0.33,
  "mass_density_g_cm3": 8.8
}

=====

{
  "formula": "CaHoAg2",
  "functional": "PBE-GGA",
  "state": "optimized geometry",
  "lattice": [[-2.882, -1.268, 1.865], [-1.421, -1.329, -3.099], [3.532, -6.384, 1.117]],
  "species": ["Ho", "Ca", "Ag", "Ag"],
  "fractional_positions": [[0.500, 0.500, 0.000], [0.500, 0.500, 0.500], [0.000, 0.000, 0.773], [0.000, 0.000, 0.227]],
  "formation_energy_ev_per_atom": -0.33,
  "mass_density_g_cm3": 7.1
}

=====

{
  "formula": "CaHo3Ag2",
  "functional": "PBE-GGA",
  "state": "optimized geometry",
  "lattice": [[-4.816, -0.448, 1.323], [-1.768, -1.272, -6.867], [1.201, -8.933, 1.345]],
  "species": ["Ho", "Ho", "Ho", "Ho", "Ho", "Ho", "Ag", "Ag", "Ag", "Ag", "Ca", "Ca"],
  "fractional_positions": [[0.000, 0.478, 0.935], [0.500, 0.651, 0.171], [0.000, 0.978, 0.065], [0.000, 0.351, 0.316], [0.500, 0.151, 0.829], [0.000, 0.851, 0.684], [0.000, 0.754, 0.354], [0.000, 0.254, 0.646], [0.500, 0.244, 0.142], [0.500, 0.744, 0.858], [0.500, 0.522, 0.566], [0.500, 0.022, 0.434]],
  "formation_energy_ev_per_atom": -0.19,
  "mass_density_g_cm3": 7.6
}

=====

{
  "formula": "Ca2HoAg",
  "functional": "PBE-GGA",
  "state": "optimized geometry",
  "lattice": [[-1.645, 1.667, -2.782], [-2.972, -1.466, -1.498], [-8.110, 5.867, 5.933]],
  "species": ["Ca", "Ca", "Ho", "Ag"],
  "fractional_positions": [[0.899, 0.899, 0.302], [0.101, 0.101, 0.698], [0.000, 0.000, 0.000], [0.500, 0.500, 0.500]],
  "formation_energy_ev_per_atom": 0.18,
  "e_above_lowest_polymorph_mev_per_atom": 229,
  "mass_density_g_cm3": 4.5
}

=====

{
  "formula": "Ca2HoAg",
  "functional": "PBE-GGA",
  "state": "optimized geometry",
  "lattice": [[-2.245, 2.263, 1.601], [0.906, -1.348, 3.176], [7.102, 6.521, 0.742]],
  "species": ["Ca", "Ca", "Ag", "Ho"],
  "fractional_positions": [[0.000, 0.000, 0.795], [0.000, 0.000, 0.205], [0.500, 0.500, 0.000], [0.500, 0.500, 0.500]],
  "formation_energy_ev_per_atom": -0.05,
  "e_above_lowest_polymorph_mev_per_atom": 0,
  "mass_density_g_cm3": 4.8
}

=====

{
  "formula": "LiCaHoAg",
  "functional": "PBE-GGA",
  "state": "optimized geometry",
  "lattice": [[-0.080, -3.628, -3.739], [2.086, -4.693, 0.878], [-3.083, -4.172, 0.485]],
  "species": ["Ag", "Ca", "Ho", "Li"],
  "fractional_positions": [[0.250, 0.250, 0.250], [0.000, 0.000, 0.000], [0.500, 0.500, 0.500], [0.750, 0.750, 0.750]],
  "formation_energy_ev_per_atom": -0.09,
  "mass_density_g_cm3": 5.3
}

=====

{
  "formula": "CaHoMgAg",
  "functional": "PBE-GGA",
  "state": "optimized geometry",
  "lattice": [[-2.388, -4.454, 1.571], [2.840, -4.403, 0.748], [0.790, -1.840, 4.899]],
  "species": ["Mg", "Ca", "Ho", "Ag"],
  "fractional_positions": [[0.000, 0.000, 0.000], [0.250, 0.250, 0.250], [0.750, 0.750, 0.750], [0.500, 0.500, 0.500]],
  "formation_energy_ev_per_atom": -0.13,
  "e_above_lowest_polymorph_mev_per_atom": 60,
  "mass_density_g_cm3": 5.3
}

=====

{
  "formula": "CaHoMgAg",
  "functional": "PBE-GGA",
  "state": "optimized geometry",
  "lattice": [[-1.100, 0.220, 3.544], [3.059, -1.825, 1.063], [3.738, 6.699, 0.744]],
  "species": ["Ag", "Mg", "Ho", "Ca"],
  "fractional_positions": [[0.500, 0.500, 0.128], [0.500, 0.500, 0.591], [0.000, 0.000, 0.335], [0.000, 0.000, 0.874]],
  "formation_energy_ev_per_atom": -0.19,
  "e_above_lowest_polymorph_mev_per_atom": 0,
  "mass_density_g_cm3": 5.3
}

=====

{
  "formula": "CaNdHoAg",
  "functional": "PBE-GGA",
  "state": "optimized geometry",
  "lattice": [[-0.231, -0.520, 3.558], [-2.597, -2.441, -0.526], [6.461, -6.751, -0.567]],
  "species": ["Ca", "Nd", "Ag", "Ho"],
  "fractional_positions": [[0.500, 0.500, 0.770], [0.000, 0.000, 0.095], [0.000, 0.000, 0.554], [0.500, 0.500, 0.367]],
  "formation_energy_ev_per_atom": -0.13,
  "mass_density_g_cm3": 6.2
}

=====

{
  "formula": "CaHoNiAg",
  "functional": "PBE-GGA",
  "state": "optimized geometry",
  "lattice": [[4.984, 0.000, 0.000], [2.492, 4.316, 0.000], [2.492, 1.439, 4.069]],
  "species": ["Ca", "Ni", "Ag", "Ho"],
  "fractional_positions": [[0.500, 0.500, 0.500], [0.750, 0.750, 0.750], [0.250, 0.250, 0.250], [0.000, 0.000, 0.000]],
  "formation_energy_ev_per_atom": -0.21,
  "mass_density_g_cm3": 7.0
}

=====

{
  "formula": "Ca2HoAgO4",
  "functional": "PBE-GGA",
  "state": "optimized geometry",
  "lattice": [[-0.172, -0.205, 3.431], [5.621, -1.792, 0.174], [-0.142, 5.887, 0.345]],
  "species": ["O", "O", "O", "O", "Ag", "Ho", "Ca", "Ca"],
  "fractional_positions": [[0.000, 0.276, 0.755], [0.500, 0.718, 0.737], [0.000, 0.724, 0.245], [0.500, 0.282, 0.263], [0.000, 0.000, 0.000], [0.500, 0.500, 0.000], [0.000, 0.500, 0.500], [0.500, 0.000, 0.500]],
  "formation_energy_uncorrected_kj_per_mol_atoms": -242.2,
  "mass_density_g_cm3": 6.1
}

=====

{
  "formula": "CaHoAgPb",
  "functional": "PBE-GGA",
  "state": "optimized geometry",
  "lattice": [[5.318, 0.000, 0.000], [2.659, 4.605, 0.000], [2.659, 1.535, 4.342]],
  "species": ["Pb", "Ag", "Ca", "Ho"],
  "fractional_positions": [[0.750, 0.750, 0.750], [0.250, 0.250, 0.250], [0.500, 0.500, 0.500], [0.000, 0.000, 0.000]],
  "formation_energy_ev_per_atom": -0.44,
  "mass_density_g_cm3": 8.1
}

=====

{
  "formula": "CaHoAgPt",
  "functional": "PBE-GGA",
  "state": "optimized geometry",
  "lattice": [[-2.318, -4.155, 1.588], [0.840, -4.376, -2.302], [2.612, -3.596, 2.325]],
  "species": ["Ho", "Ag", "Pt", "Ca"],
  "fractional_positions": [[0.000, 0.000, 0.000], [0.250, 0.250, 0.250], [0.750, 0.750, 0.750], [0.500, 0.500, 0.500]],
  "formation_energy_ev_per_atom": -0.70,
  "mass_density_g_cm3": 9.5
}

=====

{
  "formula": "CaHoAgRh",
  "functional": "PBE-GGA",
  "state": "optimized geometry",
  "lattice": [[-3.291, -0.695, 0.877], [1.045, -0.941, 3.178], [-0.850, 6.995, 2.351]],
  "species": ["Ho", "Ca", "Rh", "Ag"],
  "fractional_positions": [[0.500, 0.500, 0.351], [0.500, 0.500, 0.801], [0.000, 0.000, 0.546], [0.000, 0.000, 0.087]],
  "formation_energy_ev_per_atom": -0.52,
  "e_above_lowest_polymorph_mev_per_atom": 0,
  "mass_density_g_cm3": 7.7
}